1.
Below is a relaxed NiPtF6 crystal, with properties calculated at the PBE with a Hubbard U level.

Geometry as POSCAR:
```
NiPtF6
1.0
5.437 0.002 0.001
3.093 4.472 0.001
3.093 1.622 4.167
Ni Pt F
1 1 6
direct
0.000 0.000 0.000
0.500 0.500 0.500
0.106 0.744 0.401
0.744 0.401 0.106
0.599 0.894 0.256
0.256 0.599 0.894
0.894 0.256 0.599
0.401 0.106 0.744
```

SG ... R-3
Polymorph energy (0 for the lowest one) ... 0.00 eV per formula unit

***

2.
Below is a relaxed Ni3PtF crystal, with properties calculated at the PBE with a Hubbard U level.

Geometry as POSCAR:
```
Ni3PtF
1.0
-3.296 -1.778 1.469
2.138 -3.316 0.785
0.864 1.424 3.662
Ni Pt F
3 1 1
direct
0.000 0.500 0.000
0.000 0.000 0.500
0.500 0.000 0.000
0.500 0.500 0.500
0.000 0.000 0.000
```

SG ... Pm-3m
Polymorph energy (0 for the lowest one) ... 0.00 eV per formula unit